No. 1
A relaxed Ti2Ir2Au crystal. Source: Alexandria, functional GGA-PBE.

The structure in POSCAR format:
```
Ti2Ir2Au
1.0
7.4170 0.0000 0.0000
0.0000 7.4170 0.0000
0.0000 0.0000 2.9430
Ti Ir Au
4 4 2
Cartesian
1.1851 4.8937 1.4715
2.5234 1.1851 1.4715
6.2319 2.5234 1.4715
4.8937 6.2319 1.4715
4.7218 1.0133 0.0000
1.0133 2.6952 0.0000
2.6952 6.4037 0.0000
6.4037 4.7218 0.0000
3.7085 3.7085 0.0000
0.0000 0.0000 0.0000
```

Results
As for the crystal system: tetragonal. The calculation puts the formation energy at -654 meV per atom. For the polymorph energy (0 for the lowest one), the calculation gives 0 meV per atom.

---

No. 2
A relaxed Ti2IrAu2 crystal. Source: Alexandria, functional GGA-PBE.

The structure in POSCAR format:
```
Ti2IrAu2
1.0
-1.1853 3.2981 -6.3122
1.0344 -6.2515 -3.4606
-3.1668 -0.6618 0.2489
Au Ir Ti
4 2 4
Cartesian
0.2252 -1.8694 -2.1055
0.4616 -4.2139 -5.3310
-0.6125 1.2605 -4.4418
-0.3761 -1.0840 -7.6673
0.0000 0.0000 0.0000
-0.0755 -1.4767 -4.8864
-1.7902 -0.3418 -2.5360
-1.5275 -3.2733 -6.9879
-2.2253 0.3548 -6.2193
-1.0924 -3.9700 -3.3046
```

Results
As for the crystal system: tetragonal. The calculation puts the formation energy at -216 meV per atom. For the polymorph energy (0 for the lowest one), the calculation gives 304 meV per atom.

---

No. 3
A relaxed Ti3Ir2Au crystal. Source: Alexandria, functional GGA-PBE.

The structure in POSCAR format:
```
Ti3Ir2Au
1.0
2.9463 0.0000 0.0000
0.0000 2.9463 0.0000
0.0000 0.0000 10.9247
Ti Ir Au
3 2 1
Cartesian
0.0000 0.0000 0.0000
0.0000 0.0000 3.4514
0.0000 0.0000 7.4733
1.4731 1.4731 1.6836
1.4731 1.4731 9.2411
1.4731 1.4731 5.4624
```

Results
As for the crystal system: tetragonal. The calculation puts the formation energy at -688 meV per atom.

---

No. 4
A relaxed Ti3IrAu crystal. Source: Alexandria, functional GGA-PBE.

The structure in POSCAR format:
```
Ti3IrAu
1.0
4.7353 0.0000 0.0000
0.0000 4.7353 0.0000
0.0000 0.0000 4.7353
Ti Au Ir
3 1 1
Cartesian
0.0000 0.0000 2.3676
0.0000 2.3676 0.0000
2.3676 0.0000 0.0000
2.3676 2.3676 2.3676
0.0000 0.0000 0.0000
```

Results
As for the crystal system: cubic. The calculation puts the formation energy at 238 meV per atom.

---

No. 5
A relaxed TiIr3Au crystal. Source: Alexandria, functional GGA-PBE.

The structure in POSCAR format:
```
TiIr3Au
1.0
4.8044 0.0000 0.0000
0.0000 4.8044 0.0000
0.0000 0.0000 4.8044
Au Ir Ti
1 3 1
Cartesian
0.0000 0.0000 0.0000
0.0000 2.4022 0.0000
2.4022 0.0000 0.0000
0.0000 0.0000 2.4022
2.4022 2.4022 2.4022
```

Results
As for the crystal system: cubic. The calculation puts the formation energy at 2060 meV per atom.

---

No. 6
A relaxed Ti2IrAu2 crystal. Source: Alexandria, functional GGA-PBE.

The structure in POSCAR format:
```
Ti2IrAu2
1.0
-2.3511 0.9920 -1.3789
0.2347 -2.1400 -1.9399
-5.7177 -6.9163 4.7734
Au Ti Ir
2 2 1
Cartesian
-1.9425 -4.3213 0.2031
-3.5405 -4.7349 2.6304
-5.7597 -6.4720 2.1138
-2.0744 -1.5921 -0.6591
0.0000 0.0000 0.0000
```

Results
As for the crystal system: orthorhombic. The calculation puts the formation energy at -520 meV per atom. For the polymorph energy (0 for the lowest one), the calculation gives 0 meV per atom.

---

no.,M_tot (μB/cell)
1,0.0
2,0.0
3,1.0
4,2.0
5,0.0
6,0.5